No. 1
This record from the Alexandria database describes a relaxed LiSm2Zn2Pt5 crystal. The functional is GGA-PBE.

CIF file:
```
data_LiSm2Zn2Pt5
_chemical_formula_sum 'Li2 Sm4 Zn4 Pt10'
_space_group_name_H-M_alt 'P 4/m b m'
_space_group_IT_number 127
_space_group_name_Hall '-P 4 2ab'
_cell_length_a 9.683
_cell_length_b 9.683
_cell_length_c 3.805
_cell_angle_alpha 90.00
_cell_angle_beta 90.00
_cell_angle_gamma 90.00
loop_
_atom_site_label
_atom_site_type_symbol
_atom_site_fract_x
_atom_site_fract_y
_atom_site_fract_z
Li1 Li 0.000 0.000 0.000
Sm1 Sm 0.177 0.323 0.000
Zn1 Zn 0.122 0.622 0.000
Pt1 Pt 0.000 0.500 0.500
Pt2 Pt 0.064 0.799 0.500
```

Summary:
* DFT formation energy: -0.7616 eV/atom

---

No. 2
This record from the Alexandria database describes a relaxed BaIrN2F crystal. The functional is GGA-PBE.

CIF file:
```
data_BaIrN2F
_chemical_formula_sum 'Ba1 Ir1 N2 F1'
_space_group_name_H-M_alt 'P 4/m m m'
_space_group_IT_number 123
_space_group_name_Hall '-P 4 2'
_cell_length_a 4.739
_cell_length_b 4.739
_cell_length_c 4.788
_cell_angle_alpha 90.00
_cell_angle_beta 90.00
_cell_angle_gamma 90.00
loop_
_atom_site_label
_atom_site_type_symbol
_atom_site_fract_x
_atom_site_fract_y
_atom_site_fract_z
Ba1 Ba 0.000 0.000 0.000
Ir1 Ir 0.500 0.500 0.500
N1 N 0.000 0.500 0.000
F1 F 0.000 0.000 0.500
```

Summary:
* formation energy without anion corrections: 1859 meV/atom
* energy above the lowest structure with this stoichiometry: 2.637 eV/atom